# 1
Tl4HgAu | PBE | relaxed

- VASP energy: -1.940 eV/atom
- Total magnetization: 0.00 μB per atom

abc: 6.392 6.392 6.392
angles: 60.00 60.00 60.00
Fractional coordinates of all 6 atoms:
Tl1 0.874 0.375 0.375
Tl2 0.375 0.375 0.874
Tl3 0.375 0.874 0.375
Tl4 0.375 0.375 0.375
Hg1 0.000 0.000 0.000
Au1 0.750 0.750 0.750

# 2
Tl2HgAu5 | PBE | relaxed

- VASP energy: -2.646 eV/atom
- Total magnetization: 0.00 μB per atom

abc: 5.663 7.486 5.682
angles: 88.72 121.81 111.98
Fractional coordinates of all 8 atoms:
Tl1 0.580 0.919 0.335
Tl2 0.432 0.149 0.718
Hg1 0.885 0.654 0.768
Au1 0.951 0.737 0.290
Au2 0.555 0.327 0.266
Au3 0.443 0.731 0.789
Au4 0.054 0.322 0.771
Au5 0.100 0.384 0.287

# 3
TlHgAu2 | PBE | relaxed

- VASP energy: -2.170 eV/atom
- Total magnetization: 0.00 μB per atom

abc: 3.900 5.410 4.301
angles: 90.00 90.00 90.00
Fractional coordinates of all 4 atoms:
Tl1 0.000 0.500 0.500
Au1 0.000 0.000 0.000
Au2 0.500 0.500 0.000
Hg1 0.500 0.000 0.500

# 4
Tl3Hg2Au4 | PBE | relaxed

- VASP energy: -2.289 eV/atom
- Total magnetization: 0.00 μB per atom

abc: 4.237 5.958 9.634
angles: 91.52 90.00 110.82
Fractional coordinates of all 9 atoms:
Tl1 0.378 0.756 0.629
Tl2 0.000 0.000 0.000
Tl3 0.622 0.244 0.371
Hg1 0.329 0.657 0.226
Hg2 0.671 0.343 0.774
Au1 0.687 0.375 0.077
Au2 0.102 0.204 0.589
Au3 0.898 0.796 0.411
Au4 0.313 0.625 0.923

# 5
Tl5HgAu2 | PBE | relaxed

- VASP energy: -2.370 eV/atom
- Total magnetization: 0.00 μB per atom

abc: 8.104 8.104 8.829
angles: 117.32 117.32 90.00
Fractional coordinates of all 16 atoms:
Tl1 0.515 0.695 0.709
Tl2 0.805 0.985 0.291
Tl3 0.000 0.000 0.000
Tl4 0.500 0.500 0.000
Tl5 0.195 0.015 0.709
Tl6 0.695 0.195 0.709
Tl7 0.015 0.515 0.709
Tl8 0.305 0.805 0.291
Tl9 0.985 0.485 0.291
Tl10 0.485 0.305 0.291
Hg1 0.750 0.750 0.500
Hg2 0.250 0.250 0.500
Au1 0.136 0.364 0.000
Au2 0.636 0.136 0.000
Au3 0.364 0.864 0.000
Au4 0.864 0.636 0.000

# 6
Tl4HgAu2 | PBE | relaxed

- VASP energy: -2.355 eV/atom
- Total magnetization: 0.00 μB per atom

abc: 4.896 4.896 10.161
angles: 76.06 76.06 60.00
Fractional coordinates of all 7 atoms:
Tl1 0.391 0.391 0.826
Tl2 0.201 0.201 0.397
Tl3 0.799 0.799 0.603
Tl4 0.609 0.609 0.174
Hg1 0.000 0.000 0.000
Au1 0.099 0.099 0.702
Au2 0.901 0.901 0.298

# 7
Tl2Hg8Au3 | PBE | relaxed

- VASP energy: -1.282 eV/atom
- Total magnetization: 0.00 μB per atom

abc: 5.208 7.547 9.404
angles: 113.66 95.95 90.00
Fractional coordinates of all 13 atoms:
Tl1 0.762 0.841 0.682
Tl2 0.238 0.159 0.318
Hg1 0.723 0.450 0.899
Hg2 0.277 0.550 0.101
Hg3 0.215 0.722 0.443
Hg4 0.785 0.278 0.557
Hg5 0.722 0.414 0.275
Hg6 0.722 0.860 0.275
Hg7 0.278 0.140 0.725
Hg8 0.278 0.586 0.725
Au1 0.500 0.000 0.000
Au2 0.000 0.816 0.000
Au3 0.000 0.184 0.000

# 8
TlHgAu2 | PBE | relaxed

- VASP energy: -2.169 eV/atom
- Total magnetization: 0.00 μB per atom

abc: 5.012 5.012 5.012
angles: 60.00 60.00 60.00
Fractional coordinates of all 4 atoms:
Tl1 0.750 0.750 0.750
Au1 0.000 0.000 0.000
Au2 0.250 0.250 0.250
Hg1 0.500 0.500 0.500

# 9
Tl12Hg6Au | PBE | relaxed

- VASP energy: -1.740 eV/atom
- Total magnetization: 0.00 μB per atom

abc: 8.525 8.525 8.525
angles: 102.14 102.14 102.14
Fractional coordinates of all 19 atoms:
Tl1 0.318 0.076 0.352
Tl2 0.076 0.352 0.318
Tl3 0.352 0.318 0.076
Tl4 0.682 0.924 0.648
Tl5 0.924 0.648 0.682
Tl6 0.648 0.682 0.924
Tl7 0.136 0.046 0.679
Tl8 0.321 0.864 0.954
Tl9 0.954 0.321 0.864
Tl10 0.864 0.954 0.321
Tl11 0.679 0.136 0.046
Tl12 0.046 0.679 0.136
Hg1 0.250 0.472 0.714
Hg2 0.528 0.286 0.750
Hg3 0.286 0.750 0.528
Hg4 0.750 0.528 0.286
Hg5 0.472 0.714 0.250
Hg6 0.714 0.250 0.472
Au1 0.000 0.000 0.000

# 10
TlHg2Au2 | PBE | relaxed

- VASP energy: -1.865 eV/atom
- Total magnetization: 0.00 μB per atom

abc: 8.285 8.285 3.343
angles: 90.00 90.00 90.00
Fractional coordinates of all 10 atoms:
Tl1 0.000 0.000 0.000
Tl2 0.500 0.500 0.000
Au1 0.377 0.877 0.000
Au2 0.877 0.623 0.000
Au3 0.623 0.123 0.000
Au4 0.123 0.377 0.000
Hg1 0.175 0.675 0.500
Hg2 0.675 0.825 0.500
Hg3 0.825 0.325 0.500
Hg4 0.325 0.175 0.500

# 11
Tl3HgAu4 | PBE | relaxed

- VASP energy: -2.564 eV/atom
- Total magnetization: 0.00 μB per atom

abc: 5.489 6.692 6.692
angles: 71.15 65.78 65.78
Fractional coordinates of all 8 atoms:
Tl1 0.415 0.801 0.368
Tl2 0.076 0.924 0.924
Tl3 0.415 0.368 0.801
Au1 0.714 0.962 0.609
Au2 0.714 0.609 0.962
Au3 0.007 0.239 0.239
Au4 0.515 0.239 0.239
Hg1 0.992 0.508 0.508

# 12
TlHgAu4 | PBE | relaxed

- VASP energy: -2.620 eV/atom
- Total magnetization: 0.00 μB per atom

abc: 5.675 5.675 5.675
angles: 60.00 60.00 60.00
Fractional coordinates of all 6 atoms:
Au1 0.126 0.625 0.625
Au2 0.625 0.625 0.625
Au3 0.625 0.126 0.625
Au4 0.625 0.625 0.126
Hg1 0.250 0.250 0.250
Tl1 0.000 0.000 0.000

Number 1: calculated formation energy 0.234 eV per atom, Fermi-level density of states 0.370 states/eV/atom. Number 2: calculated formation energy 0.032 eV per atom, Fermi-level density of states 0.207 states/eV/atom. Number 3: calculated formation energy 0.135 eV per atom, Fermi-level density of states 0.370 states/eV/atom. Number 4: calculated formation energy 0.023 eV per atom, Fermi-level density of states 0.393 states/eV/atom. Number 5: calculated formation energy -0.034 eV per atom, Fermi-level density of states 0.340 states/eV/atom. Number 6: calculated formation energy -0.023 eV per atom, Fermi-level density of states 0.505 states/eV/atom. Number 7: calculated formation energy 0.024 eV per atom, Fermi-level density of states 0.229 states/eV/atom. Number 8: calculated formation energy 0.137 eV per atom, Fermi-level density of states 0.418 states/eV/atom. Number 9: calculated formation energy 0.022 eV per atom, Fermi-level density of states 0.458 states/eV/atom. Number 10: calculated formation energy 0.040 eV per atom, Fermi-level density of states 0.371 states/eV/atom. Number 11: calculated formation energy 0.000 eV per atom, Fermi-level density of states 0.328 states/eV/atom. Number 12: calculated formation energy 0.009 eV per atom, Fermi-level density of states 0.251 states/eV/atom.